K4Dy3MnO8 | GGA+U | optimized geometry

abc: 6.896 7.378 6.795
angles: 117.43 120.49 90.00
Atoms (fractional coordinates):
1 K 0.500 0.000 0.000
2 K 0.500 0.000 0.500
3 K 0.000 0.000 0.000
4 K 0.000 0.000 0.500
5 Dy 0.500 0.500 0.000
6 Dy 0.500 0.500 0.500
7 Dy 0.000 0.500 0.500
8 Mn 0.000 0.500 0.000
9 O 0.231 0.691 0.961
10 O 0.204 0.669 0.408
11 O 0.269 0.314 0.538
12 O 0.729 0.691 0.961
13 O 0.271 0.309 0.039
14 O 0.731 0.686 0.462
15 O 0.796 0.331 0.592
16 O 0.769 0.309 0.039

## Properties
- Raw total energy: -6.4959 eV/atom